A plane-wave DFT calculation with PBE was carried out for a relaxed LaCr2Ru crystal.

Cell: 4.2680 2.9170 6.0468 Å, 74.21 90.00 90.00°
Atoms (fractional coordinates):
1 Cr 0.0000 0.4586 0.5960
2 Ru 0.5000 0.7500 0.7500
3 La 0.5000 0.2500 0.2500
4 Cr 0.0000 0.0414 0.9040

Output
**Distance to the lowest polymorph of the same formula**: 154 meV per atom
**Raw total energy**: -31.6 eV per cell
**Total magnetic moment**: 0.0 μB per formula unit

A plane-wave DFT calculation with PBE was carried out for a relaxed Ti2NiPdC crystal.

Cell: 4.1806 4.1806 3.7546 Å, 90.00 90.00 90.00°
Atoms (fractional coordinates):
1 Ti 0.5000 0.0000 0.0000
2 Ni 0.0000 0.0000 0.5000
3 Pd 0.5000 0.5000 0.5000
4 Ti 0.0000 0.5000 0.0000
5 C 0.0000 0.0000 0.0000

Output
**Raw total energy**: -38.4 eV per cell
**Total magnetic moment**: 0.0 μB per formula unit

A plane-wave DFT calculation with PBE was carried out for a relaxed Cd2RuF crystal.

Cell: 6.9972 6.9972 5.7437 Å, 52.47 52.47 90.00°
Atoms (fractional coordinates):
1 F 0.5000 0.5000 0.0000
2 Cd 0.5817 0.1250 0.2500
3 Ru 0.7500 0.2500 0.5000
4 Cd 0.1683 0.6250 0.2500
5 F 0.2500 0.7500 0.5000
6 Cd 0.3750 0.4183 0.7500
7 Cd 0.8750 0.8317 0.7500
8 Ru 0.0000 0.0000 0.0000

Output
**Distance to the lowest polymorph of the same formula**: 0 meV per atom
**ΔE_f (raw)**: -0.11 eV/atom
**Raw total energy**: -26.8 eV per cell
**Total magnetic moment**: 1.6 μB per formula unit